[1]
# Th2Nb | the Open Quantum Materials Database | GGA-PBE | optimized geometry
data_Th2Nb
_chemical_formula_sum 'Th4 Nb2'
_cell_length_a 8.456
_cell_length_b 8.456
_cell_length_c 8.456
_cell_angle_alpha 60.00
_cell_angle_beta 60.00
_cell_angle_gamma 60.00
_space_group_name_H-M_alt 'P 1'
_space_group_IT_number 1
loop_
_space_group_symop_operation_xyz
'x,y,z'
loop_
_atom_site_label
_atom_site_type_symbol
_atom_site_fract_x
_atom_site_fract_y
_atom_site_fract_z
Th1 Th 0.000 0.000 0.000
Th2 Th 0.000 0.000 0.500
Th3 Th 0.000 0.500 0.000
Th4 Th 0.500 0.000 0.000
Nb1 Nb 0.125 0.125 0.125
Nb2 Nb 0.875 0.875 0.875
# E in eV per cell: -38.6
# Symmetry: Fd-3m
# Mass density in g/cm3: 4.326
# Magnetization in μB per cell: 1.73



[2]
# ThNbTl | the Open Quantum Materials Database | GGA-PBE | optimized geometry
data_ThNbTl
_chemical_formula_sum 'Th1 Nb1 Tl1'
_cell_length_a 4.916
_cell_length_b 4.916
_cell_length_c 4.916
_cell_angle_alpha 60.00
_cell_angle_beta 60.00
_cell_angle_gamma 60.00
_space_group_name_H-M_alt 'P 1'
_space_group_IT_number 1
loop_
_space_group_symop_operation_xyz
'x,y,z'
loop_
_atom_site_label
_atom_site_type_symbol
_atom_site_fract_x
_atom_site_fract_y
_atom_site_fract_z
Th1 Th 0.000 0.000 0.000
Nb1 Nb 0.250 0.250 0.250
Tl1 Tl 0.500 0.500 0.500
# Distance to the lowest polymorph of the same formula in meV per atom: 0
# E in eV per cell: -17.7
# Symmetry: F-43m
# Mass density in g/cm3: 10.464
# Magnetization in μB per cell: 1.16



[3]
# TmThNb | the Open Quantum Materials Database | GGA-PBE | optimized geometry
data_TmThNb
_chemical_formula_sum 'Tm1 Th1 Nb1'
_cell_length_a 4.954
_cell_length_b 4.954
_cell_length_c 4.954
_cell_angle_alpha 60.00
_cell_angle_beta 60.00
_cell_angle_gamma 60.00
_space_group_name_H-M_alt 'P 1'
_space_group_IT_number 1
loop_
_space_group_symop_operation_xyz
'x,y,z'
loop_
_atom_site_label
_atom_site_type_symbol
_atom_site_fract_x
_atom_site_fract_y
_atom_site_fract_z
Tm1 Tm 0.000 0.000 0.000
Th1 Th 0.500 0.500 0.500
Nb1 Nb 0.750 0.750 0.750
# Distance to the lowest polymorph of the same formula in meV per atom: 0
# E in eV per cell: -20.2
# Symmetry: F-43m
# Mass density in g/cm3: 9.538
# Magnetization in μB per cell: 0.00